(1)
## NaTiRh2Au (PBE-GGA)

Data for a relaxed NaTiRh2Au crystal.

POSCAR file:
```
NaTiRh2Au
1.0
4.9544 0.0000 0.0000
0.0000 4.9544 0.0000
0.0000 0.0000 4.6209
Na Ti Rh Au
1 1 2 1
Cartesian
0.0000 0.0000 0.0000
2.4772 2.4772 0.0000
0.0000 2.4772 2.3104
2.4772 0.0000 2.3104
0.0000 0.0000 2.3104
```

**Density**: 6.9 g cm⁻³

***

(2)
## NaTl2RhAu (PBE-GGA)

Data for a relaxed NaTl2RhAu crystal.

POSCAR file:
```
NaTl2RhAu
1.0
5.2015 0.0000 0.0000
0.0000 5.2015 0.0000
0.0000 0.0000 5.3524
Na Tl Rh Au
1 2 1 1
Cartesian
0.0000 0.0000 0.0000
0.0000 2.6007 2.6762
2.6007 0.0000 2.6762
2.6007 2.6007 2.6762
2.6007 2.6007 0.0000
```

**Density**: 8.4 g cm⁻³

***

Values for density of states at the Fermi level, states/eV/cell, ordered as above
6.02, 2.59
Values for calculated total energy, eV per cell, ordered as above
-21.24, -16.42
Values for spin magnetization, Bohr magnetons per cell, ordered as above
0.000, 0.000